# 1
VASP calculation (GGA-PBE) on a relaxed Dy2ScRh crystal.

Lattice parameters (Å, degrees): 3.4519 3.4519 30.8160 90.00 90.00 120.00
Space group R-3m (No. 166, hexagonal axes)
Inequivalent atoms, fractional coordinates:
Dy 0.0000 0.0000 0.1042 [6 per cell]
Sc 0.0000 0.0000 0.0000 [3 per cell]
Rh 0.0000 0.0000 0.5000 [3 per cell]

distance to the lowest polymorph of the same formula	0.337	eV/atom
V	318.0	Å³ per cell
energy of formation from the pure elements	-0.082	eV/atom
mass density	7.41	g/cm3

# 2
VASP calculation (GGA-PBE) on a relaxed K2BaSr crystal.

Lattice parameters (Å, degrees): 4.342 7.562 7.945 90.00 95.66 90.00
Space group P2/m (No. 10)
Inequivalent atoms, fractional coordinates:
K 0.240 0.000 0.253 [2 per cell]
Ba 0.500 0.500 0.000 [1 per cell]
Sr 0.000 0.500 0.500 [1 per cell]

V	259.6	Å³ per cell
energy of formation from the pure elements	0.099	eV/atom
mass density	1.94	g/cm3

# 3
VASP calculation (GGA-PBE) on a relaxed Ho4AgRh2 crystal.

Lattice parameters (Å, degrees): 4.891 4.891 6.874 90.00 90.00 90.00
Space group P4/mmm (No. 123)
Inequivalent atoms, fractional coordinates:
Ho 0.000 0.500 0.245 [4 per cell]
Ag 0.000 0.000 0.500 [1 per cell]
Rh 0.000 0.000 0.000 [1 per cell]
Rh 0.500 0.500 0.500 [1 per cell]

distance to the lowest polymorph of the same formula	0.012	eV/atom
V	164.4	Å³ per cell
energy of formation from the pure elements	-0.578	eV/atom
mass density	9.83	g/cm3

# 4
VASP calculation (GGA-PBE) on a relaxed Re4MoW crystal.

Lattice parameters (Å, degrees): 7.264 7.264 7.264 90.00 90.00 90.00
Space group F-43m (No. 216)
Inequivalent atoms, fractional coordinates:
Re 0.125 0.125 0.125 [16 per cell]
Mo 0.000 0.000 0.500 [4 per cell]
W 0.250 0.250 0.750 [4 per cell]

V	383.2	Å³ per cell
energy of formation from the pure elements	0.216	eV/atom
mass density	17.76	g/cm3

# 5
VASP calculation (GGA-PBE) on a relaxed DyAlGa2 crystal.

Lattice parameters (Å, degrees): 5.539 9.228 3.176 90.00 90.00 90.00
Space group Cmmm (No. 65)
Inequivalent atoms, fractional coordinates:
Dy 0.000 0.000 0.000 [2 per cell]
Al 0.000 0.500 0.500 [2 per cell]
Ga 0.250 0.250 0.500 [4 per cell]

V	162.3	Å³ per cell
energy of formation from the pure elements	-0.347	eV/atom
mass density	6.73	g/cm3

# 6
VASP calculation (GGA-PBE) on a relaxed BaCaHg2F8 crystal.

Lattice parameters (Å, degrees): 5.770 5.770 11.585 90.00 90.00 90.00
Space group I-4m2 (No. 119)
Inequivalent atoms, fractional coordinates:
Ba 0.000 0.000 0.000 [2 per cell]
Ca 0.000 0.500 0.250 [2 per cell]
Hg 0.000 0.000 0.500 [2 per cell]
Hg 0.000 0.500 0.750 [2 per cell]
F 0.233 0.242 0.367 [16 per cell]

V	385.8	Å³ per cell
mass density	6.29	g/cm3
formation energy (no corrections)	-2636	meV/atom

# 7
VASP calculation (GGA-PBE) on a relaxed Cr2CdSe crystal.

Lattice parameters (Å, degrees): 3.145 4.154 6.275 90.00 104.40 90.00
Space group Pm (No. 6)
Inequivalent atoms, fractional coordinates:
Cr 0.000 0.000 0.000 [1 per cell]
Cr 0.476 0.500 0.951 [1 per cell]
Cd 0.169 0.500 0.341 [1 per cell]
Se 0.348 0.000 0.694 [1 per cell]

distance to the lowest polymorph of the same formula	0.042	eV/atom
V	79.4	Å³ per cell
mass density	6.18	g/cm3
formation energy (no corrections)	210	meV/atom

# 8
VASP calculation (GGA-PBE) on a relaxed ZnCuAu2 crystal.

Lattice parameters (Å, degrees): 6.350 6.350 6.350 90.00 90.00 90.00
Space group F-43m (No. 216)
Inequivalent atoms, fractional coordinates:
Zn 0.000 0.000 0.000 [4 per cell]
Cu 0.250 0.250 0.250 [4 per cell]
Au 0.000 0.000 0.500 [4 per cell]
Au 0.250 0.250 0.750 [4 per cell]

V	256.1	Å³ per cell
energy of formation from the pure elements	-0.053	eV/atom
mass density	13.56	g/cm3

# 9
VASP calculation (GGA-PBE) on a relaxed LaNd2HoMg crystal.

Lattice parameters (Å, degrees): 6.312 5.717 9.492 90.00 108.43 90.00
Space group P2_1/m (No. 11)
Inequivalent atoms, fractional coordinates:
La 0.036 0.250 0.388 [2 per cell]
Nd 0.375 0.750 0.391 [2 per cell]
Nd 0.455 0.250 0.196 [2 per cell]
Ho 0.153 0.750 0.998 [2 per cell]
Mg 0.228 0.250 0.810 [2 per cell]

V	324.9	Å³ per cell
energy of formation from the pure elements	0.016	eV/atom
mass density	6.30	g/cm3

# 10
VASP calculation (GGA-PBE) on a relaxed ScCu crystal.

Lattice parameters (Å, degrees): 5.383 5.383 5.383 90.00 90.00 90.00
Space group Fm-3m (No. 225)
Inequivalent atoms, fractional coordinates:
Sc 0.000 0.000 0.000 [4 per cell]
Cu 0.000 0.000 0.500 [4 per cell]

V	156.0	Å³ per cell
energy of formation from the pure elements	0.040	eV/atom
mass density	4.62	g/cm3

# 11
VASP calculation (GGA-PBE) on a relaxed TlGa2Ni crystal.

Lattice parameters (Å, degrees): 6.702 6.702 6.702 90.00 90.00 90.00
Space group Fm-3m (No. 225)
Inequivalent atoms, fractional coordinates:
Tl 0.000 0.000 0.000 [4 per cell]
Ga 0.250 0.250 0.250 [8 per cell]
Ni 0.000 0.000 0.500 [4 per cell]

V	301.1	Å³ per cell
energy of formation from the pure elements	0.325	eV/atom
mass density	8.88	g/cm3

# 12
VASP calculation (GGA-PBE) on a relaxed YFeRu crystal.

Lattice parameters (Å, degrees): 3.2790 3.2790 6.1422 90.00 90.00 120.00
Space group P3m1 (No. 156)
Inequivalent atoms, fractional coordinates:
Y 0.0000 0.0000 0.0000 [1 per cell]
Fe 0.6667 0.3333 0.3886 [1 per cell]
Ru 0.3333 0.6667 0.6535 [1 per cell]

V	57.2	Å³ per cell
energy of formation from the pure elements	0.463	eV/atom
mass density	7.14	g/cm3

Listing total energy for the structures above in their given order: -69.65; -5.40; -39.91; -289.13; -31.58; -102.26; -22.81; -48.55; -41.11; -41.39; -51.60; -22.81 eV per cell.